Entry 1:
Entry from the Alexandria database: Tb7TmSc4 after structural relaxation (PBE-GGA).

The space group is C2/m (No. 12) and the conventional cell measures 15.4629, 5.7516 and 9.3800 Å, with angles of 90.00, 120.65 and 90.00 degrees. The inequivalent atoms are Tb at (0.0000, 0.0000, 0.0000), Tb at (0.0881, 0.5000, 0.4460), Tb at (0.2083, 0.5000, 0.8827), Tb at (0.2400, 0.5000, 0.2752), Tm at (0.0000, 0.5000, 0.0000), Sc at (0.0554, 0.0000, 0.7018) and Sc at (0.1665, 0.0000, 0.3483).

For the volume, the calculation gives 717.7 Å³/cell. As for the excess energy over the best structure of this formula in the dataset: 264.0 kJ/mol of formula units. For the density of states at the Fermi level, the calculation gives 40.5 states/eV per cell. For the formation energy, the calculation gives 0.249 eV/atom.

=====

Entry 2:
Entry from the Alexandria database: Tb5Tm4Sc2 after structural relaxation (PBE-GGA).

The space group is Immm (No. 71) and the conventional cell measures 3.4323, 8.9437 and 22.5234 Å, with angles of 90.00, 90.00 and 90.00 degrees. The inequivalent atoms are Tb at (0.0000, 0.0000, 0.0000), Tb at (0.0000, 0.2978, 0.3501), Tm at (0.0000, 0.1881, 0.5000), Tm at (0.0000, 0.5000, 0.0989) and Sc at (0.0000, 0.5000, 0.2302).

For the volume, the calculation gives 691.4 Å³/cell. As for the excess energy over the best structure of this formula in the dataset: 166.5 kJ/mol of formula units. For the density of states at the Fermi level, the calculation gives 35.1 states/eV per cell. For the formation energy, the calculation gives 0.245 eV/atom.

=====

Entry 3:
Entry from the Alexandria database: TbTm8Sc4 after structural relaxation (PBE-GGA).

The space group is R-3m (No. 166, hexagonal axes) and the conventional cell measures 7.0103, 7.0103 and 26.3709 Å, with angles of 90.00, 90.00 and 120.00 degrees. The inequivalent atoms are Tb at (0.0000, 0.0000, 0.0000), Tm at (0.0000, 0.0000, 0.2829), Tm at (0.0321, 0.5161, 0.2637), Sc at (0.0000, 0.0000, 0.5000) and Sc at (0.0000, 0.5000, 0.5000).

For the volume, the calculation gives 1122.3 Å³/cell. For the density of states at the Fermi level, the calculation gives 54.2 states/eV per cell. For the formation energy, the calculation gives 0.266 eV/atom.

=====

Entry 4:
Entry from the Alexandria database: Tb3Tm2Sc8 after structural relaxation (PBE-GGA).

The space group is Cmmm (No. 65) and the conventional cell measures 7.1999, 19.5043 and 5.2495 Å, with angles of 90.00, 90.00 and 90.00 degrees. The inequivalent atoms are Tb at (0.0000, 0.0000, 0.0000), Tb at (0.2121, 0.5000, 0.5000), Tm at (0.0000, 0.2399, 0.0000), Sc at (0.0000, 0.1326, 0.5000), Sc at (0.0000, 0.3329, 0.5000) and Sc at (0.2067, 0.3896, 0.0000).

For the volume, the calculation gives 737.2 Å³/cell. For the density of states at the Fermi level, the calculation gives 54.1 states/eV per cell. For the formation energy, the calculation gives 0.292 eV/atom.

=====

Entry 5:
Entry from the Alexandria database: TbTm12Sc3 after structural relaxation (PBE-GGA).

The space group is P4/mmm (No. 123) and the conventional cell measures 4.8796, 4.8796 and 19.5082 Å, with angles of 90.00, 90.00 and 90.00 degrees. The inequivalent atoms are Tb at (0.0000, 0.0000, 0.0000), Tm at (0.0000, 0.5000, 0.1286), Tm at (0.0000, 0.5000, 0.3762), Tm at (0.5000, 0.5000, 0.0000), Tm at (0.5000, 0.5000, 0.2528), Tm at (0.5000, 0.5000, 0.5000), Sc at (0.0000, 0.0000, 0.2520) and Sc at (0.0000, 0.0000, 0.5000).

For the volume, the calculation gives 464.5 Å³/cell. For the density of states at the Fermi level, the calculation gives 24.8 states/eV per cell. For the formation energy, the calculation gives 0.040 eV/atom.

=====

Entry 6:
Entry from the Alexandria database: Tb2TmSc7 after structural relaxation (PBE-GGA).

The space group is Cmmm (No. 65) and the conventional cell measures 6.0378, 27.0891 and 3.3155 Å, with angles of 90.00, 90.00 and 90.00 degrees. The inequivalent atoms are Tb at (0.0000, 0.2103, 0.0000), Tm at (0.0000, 0.5000, 0.5000), Sc at (0.0000, 0.0000, 0.0000), Sc at (0.0000, 0.3185, 0.5000) and Sc at (0.2462, 0.4022, 0.0000).

For the volume, the calculation gives 542.3 Å³/cell. As for the excess energy over the best structure of this formula in the dataset: 88.1 kJ/mol of formula units. For the density of states at the Fermi level, the calculation gives 29.9 states/eV per cell. For the formation energy, the calculation gives 0.147 eV/atom.

=====

Entry 7:
Entry from the Alexandria database: Tb4Tm2Sc3 after structural relaxation (PBE-GGA).

The space group is C2/c (No. 15) and the conventional cell measures 13.1307, 13.0528 and 6.1894 Å, with angles of 90.00, 94.47 and 90.00 degrees. The inequivalent atoms are Tb at (0.1069, 0.2013, 0.1171), Tb at (0.1266, 0.3157, 0.6118), Tm at (0.2120, 0.4421, 0.0655), Sc at (0.0000, 0.4660, 0.2500) and Sc at (0.0899, 0.0653, 0.5927).

For the volume, the calculation gives 1057.6 Å³/cell. As for the excess energy over the best structure of this formula in the dataset: 0.0 kJ/mol of formula units. For the density of states at the Fermi level, the calculation gives 46.5 states/eV per cell. For the formation energy, the calculation gives 0.091 eV/atom.

=====

Entry 8:
Entry from the Alexandria database: Tb3TmSc8 after structural relaxation (PBE-GGA).

The space group is Immm (No. 71) and the conventional cell measures 5.9255, 10.6120 and 10.9531 Å, with angles of 90.00, 90.00 and 90.00 degrees. The inequivalent atoms are Tb at (0.0000, 0.0000, 0.0000), Tb at (0.0000, 0.2477, 0.5000), Tm at (0.0000, 0.5000, 0.0000), Sc at (0.0000, 0.2505, 0.1756) and Sc at (0.2488, 0.0000, 0.2519).

For the volume, the calculation gives 688.7 Å³/cell. For the density of states at the Fermi level, the calculation gives 50.9 states/eV per cell. For the formation energy, the calculation gives 0.290 eV/atom.

=====

- Number 4 is which compound?
  Tb3Tm2Sc8